This record from the Alexandria database describes a geometry-optimized Ca2CoO4 structure. The functional is PBE with a Hubbard U.

a = 3.812 Å, b = 3.812 Å, c = 6.408 Å
α = 72.70°, β = 72.70°, γ = 90.00°
Each line ends with the local moment (μB).
Atoms (fractional coordinates):
O1 0.500 0.000 0.000  0.06
O2 0.000 0.500 0.000  0.06
O3 0.837 0.837 0.327  0.14
O4 0.163 0.163 0.673  0.14
Ca1 0.361 0.361 0.279  0.01
Ca2 0.639 0.639 0.721  0.01
Co1 0.000 0.000 0.000  2.52

VASP energy = -6.147 eV/atom